This record from Alexandria describes a relaxed NiHg5 crystal. The functional is PBE.

Values from the calculation:
The value obtained for the spin magnetization is 0.0 μB per cell.

```
NiHg5
1.0
3.3303 0.0000 0.0000
-1.6652 2.8842 0.0000
0.0000 0.0000 14.3364
Ni Hg
1 5
Direct
0.0000 0.0000 0.0000
0.0000 0.0000 0.3128
0.0000 0.0000 0.6872
0.3333 0.6667 0.1292
0.3333 0.6667 0.5000
0.3333 0.6667 0.8708
```

This record from Alexandria describes a relaxed Tl2CrRu crystal. The functional is PBE.

Values from the calculation:
As for the energy above the lowest structure with this stoichiometry: 247 meV/atom. The value obtained for the spin magnetization is 7.2 μB per cell.

```
Tl2CrRu
1.0
9.1266 0.0000 0.0000
0.0000 3.3455 0.0000
-1.2824 0.0000 5.0954
Tl Cr Ru
4 2 2
Direct
0.2467 0.0000 0.2432
0.2533 0.5000 0.7568
0.7467 0.5000 0.2432
0.7533 0.0000 0.7568
0.0000 0.0000 0.5000
0.5000 0.5000 0.5000
0.0000 0.5000 0.0000
0.5000 0.0000 0.0000
```

This record from Alexandria describes a relaxed Mn2ReWC crystal. The functional is PBE.

Values from the calculation:
The value obtained for the spin magnetization is 0.2 μB per cell.

```
Mn2ReWC
1.0
3.8447 0.0000 0.0000
0.0000 3.8447 0.0000
0.0000 0.0000 4.0263
Mn Re W C
2 1 1 1
Direct
0.0000 0.5000 0.0000
0.5000 0.0000 0.0000
0.0000 0.0000 0.5000
0.5000 0.5000 0.5000
0.0000 0.0000 0.0000
```

| no. | DOS(E_F) (states/eV/atom) | calculated density (g/cm3) | energy relative to the elements (eV/atom) |
| --- | --- | --- | --- |
| 1 | 0.354 | 12.802 | 0.17 |
| 2 | 0.693 | 11.993 | 0.65 |
| 3 | 0.780 | 13.725 | 0.08 |